Record 1
DFT (GGA-PBE) results for a relaxed structure of RbLiRe2O8.

Summary:
The crystal system is monoclinic. The calculation puts the density of states at the Fermi level at 0.00 states/eV/cell. The total DFT energy (no corrections) is -89.40 eV for the cell shown. Its space group is C2/m, No. 12. For the uncorrected formation energy, the calculation gives -2119 kJ/mol of formula units. Its magnetization is 0.0 μB/cell.

a b c (Å): 6.751 6.751 7.642
angles (deg): 116.13 116.13 49.64
Element x y z (fractional)
Rb: 0.000 0.000 0.000
Li: 0.500 0.500 0.500
Re: 0.193 0.193 0.661
Re: 0.807 0.807 0.339
O: 0.132 0.632 0.309
O: 0.177 0.177 0.421
O: 0.351 0.351 0.843
O: 0.368 0.868 0.691
O: 0.632 0.132 0.309
O: 0.649 0.649 0.157
O: 0.823 0.823 0.579
O: 0.868 0.368 0.691

Record 2
DFT (GGA-PBE) results for a relaxed structure of ReTcSb2.

Summary:
The crystal system is trigonal. The calculation puts the density of states at the Fermi level at 13.72 states/eV/cell. The total DFT energy (no corrections) is -88.86 eV for the cell shown. Its space group is R3m, No. 160. For the uncorrected formation energy, the calculation gives 139 kJ/mol of formula units. Its magnetization is 0.0 μB/cell.

a b c (Å): 3.078 3.078 31.974
angles (deg): 90.00 90.00 120.00
Element x y z (fractional)
Re: 0.000 0.000 0.000
Re: 0.333 0.667 0.667
Re: 0.667 0.333 0.333
Tc: 0.000 0.000 0.731
Tc: 0.333 0.667 0.397
Tc: 0.667 0.333 0.064
Sb: 0.000 0.000 0.266
Sb: 0.000 0.000 0.464
Sb: 0.333 0.667 0.130
Sb: 0.333 0.667 0.933
Sb: 0.667 0.333 0.599
Sb: 0.667 0.333 0.797

Record 3
DFT (GGA-PBE) results for a relaxed structure of LiSnMo2I.

Summary:
The crystal system is tetragonal. The calculation puts the density of states at the Fermi level at 2.64 states/eV/cell. The total DFT energy (no corrections) is -22.58 eV for the cell shown. Its space group is P4/mmm, No. 123. For the uncorrected formation energy, the calculation gives 631 kJ/mol of formula units. Its magnetization is 7.5 μB/cell.

a b c (Å): 5.342 5.342 5.230
angles (deg): 90.00 90.00 90.00
Element x y z (fractional)
Li: 0.000 0.000 0.000
Sn: 0.000 0.000 0.500
Mo: 0.000 0.500 0.500
Mo: 0.500 0.000 0.500
I: 0.500 0.500 0.000

Record 4
DFT (GGA-PBE) results for a relaxed structure of GaAg2HgS4.

Summary:
The crystal system is tetragonal. The calculation puts the density of states at the Fermi level at 11.86 states/eV/cell. The total DFT energy (no corrections) is -54.92 eV for the cell shown. Its space group is I-42m, No. 121. For the uncorrected formation energy, the calculation gives -185 kJ/mol of formula units. Its magnetization is 0.0 μB/cell.

a b c (Å): 5.666 5.666 11.737
angles (deg): 90.00 90.00 90.00
Element x y z (fractional)
Ga: 0.000 0.000 0.000
Ga: 0.500 0.500 0.500
Ag: 0.000 0.500 0.250
Ag: 0.000 0.500 0.750
Ag: 0.500 0.000 0.250
Ag: 0.500 0.000 0.750
Hg: 0.000 0.000 0.500
Hg: 0.500 0.500 0.000
S: 0.229 0.229 0.120
S: 0.229 0.771 0.880
S: 0.271 0.271 0.620
S: 0.271 0.729 0.380
S: 0.729 0.271 0.380
S: 0.729 0.729 0.620
S: 0.771 0.229 0.880
S: 0.771 0.771 0.120

Record 5
DFT (GGA-PBE) results for a relaxed structure of NaBe3Cu.

Summary:
The crystal system is cubic. The calculation puts the density of states at the Fermi level at 1.97 states/eV/cell. The total DFT energy (no corrections) is -6.92 eV for the cell shown. Its space group is Pm-3m, No. 221. Its magnetization is 0.0 μB/cell.

a b c (Å): 4.296 4.296 4.296
angles (deg): 90.00 90.00 90.00
Element x y z (fractional)
Na: 0.000 0.000 0.000
Be: 0.000 0.000 0.500
Be: 0.000 0.500 0.000
Be: 0.500 0.000 0.000
Cu: 0.500 0.500 0.500

Record 6
DFT (GGA-PBE) results for a relaxed structure of Sr3Ge2Pd4.

Summary:
The crystal system is monoclinic. The calculation puts the density of states at the Fermi level at 10.85 states/eV/cell. The total DFT energy (no corrections) is -80.55 eV for the cell shown. Its space group is C2/c, No. 15. Its magnetization is 0.0 μB/cell.

a b c (Å): 7.909 7.909 7.211
angles (deg): 96.90 96.90 83.17
Element x y z (fractional)
Sr: 0.078 0.922 0.750
Sr: 0.239 0.501 0.385
Sr: 0.499 0.761 0.115
Sr: 0.501 0.239 0.885
Sr: 0.761 0.499 0.615
Sr: 0.922 0.078 0.250
Ge: 0.040 0.336 0.947
Ge: 0.336 0.040 0.447
Ge: 0.664 0.960 0.553
Ge: 0.960 0.664 0.053
Pd: 0.143 0.255 0.629
Pd: 0.217 0.569 0.853
Pd: 0.255 0.143 0.129
Pd: 0.431 0.783 0.647
Pd: 0.569 0.217 0.353
Pd: 0.745 0.857 0.871
Pd: 0.783 0.431 0.147
Pd: 0.857 0.745 0.371

Record 7
DFT (GGA-PBE) results for a relaxed structure of Al2HgPb.

Summary:
The crystal system is orthorhombic. The calculation puts the density of states at the Fermi level at 3.85 states/eV/cell. The total DFT energy (no corrections) is -21.17 eV for the cell shown. Its space group is Imm2, No. 44. Its magnetization is 0.0 μB/cell.

a b c (Å): 3.336 5.358 10.401
angles (deg): 90.00 90.00 90.00
Element x y z (fractional)
Al: 0.000 0.000 0.000
Al: 0.000 0.500 0.283
Al: 0.500 0.000 0.783
Al: 0.500 0.500 0.500
Hg: 0.000 0.500 0.735
Hg: 0.500 0.000 0.235
Pb: 0.000 0.000 0.516
Pb: 0.500 0.500 0.016

Record 8
DFT (GGA-PBE) results for a relaxed structure of Er2ZrUN4.

Summary:
The crystal system is monoclinic. The calculation puts the density of states at the Fermi level at 5.24 states/eV/cell. The total DFT energy (no corrections) is -75.52 eV for the cell shown. Its space group is P2/m, No. 10. For the uncorrected formation energy, the calculation gives -1279 kJ/mol of formula units. Its magnetization is 0.7 μB/cell.

a b c (Å): 5.835 3.376 5.863
angles (deg): 90.00 108.99 90.00
Element x y z (fractional)
Er: 0.000 0.000 0.000
Er: 0.500 0.500 0.000
Zr: 0.000 0.500 0.500
U: 0.500 0.000 0.500
N: 0.250 0.000 0.734
N: 0.253 0.500 0.261
N: 0.747 0.500 0.739
N: 0.750 0.000 0.266

Record 9
DFT (GGA-PBE) results for a relaxed structure of SrNbTl3.

Summary:
The crystal system is cubic. The calculation puts the density of states at the Fermi level at 1.67 states/eV/cell. The total DFT energy (no corrections) is -18.10 eV for the cell shown. Its space group is Pm-3m, No. 221. Its magnetization is 0.0 μB/cell.

a b c (Å): 5.490 5.490 5.490
angles (deg): 90.00 90.00 90.00
Element x y z (fractional)
Sr: 0.000 0.000 0.000
Nb: 0.500 0.500 0.500
Tl: 0.000 0.500 0.500
Tl: 0.500 0.000 0.500
Tl: 0.500 0.500 0.000

Record 10
DFT (GGA-PBE) results for a relaxed structure of Rb2LaHf2O7.

Summary:
The crystal system is tetragonal. The calculation puts the density of states at the Fermi level at 7.78 states/eV/cell. The total DFT energy (no corrections) is -95.57 eV for the cell shown. Its space group is I4/mmm, No. 139. For the uncorrected formation energy, the calculation gives -3289 kJ/mol of formula units. Its magnetization is 1.0 μB/cell.

a b c (Å): 11.990 11.990 11.990
angles (deg): 160.30 160.30 28.00
Element x y z (fractional)
Rb: 0.195 0.195 0.000
Rb: 0.805 0.805 0.000
La: 0.000 0.000 0.000
Hf: 0.407 0.407 0.000
Hf: 0.593 0.593 0.000
O: 0.076 0.576 0.500
O: 0.323 0.323 0.000
O: 0.424 0.924 0.500
O: 0.500 0.500 0.000
O: 0.576 0.076 0.500
O: 0.677 0.677 0.000
O: 0.924 0.424 0.500

Record 11
DFT (GGA-PBE) results for a relaxed structure of CeZrV4.

Summary:
The crystal system is cubic. The calculation puts the density of states at the Fermi level at 7.05 states/eV/cell. The total DFT energy (no corrections) is -50.09 eV for the cell shown. Its space group is F-43m, No. 216. Its magnetization is 0.0 μB/cell.

a b c (Å): 5.245 5.245 5.245
angles (deg): 60.00 60.00 60.00
Element x y z (fractional)
Ce: 0.000 0.000 0.000
Zr: 0.750 0.750 0.750
V: 0.375 0.375 0.375
V: 0.375 0.375 0.876
V: 0.375 0.876 0.375
V: 0.876 0.375 0.375

Record 12
DFT (GGA-PBE) results for a relaxed structure of CaTl3Ag3Cl8.

Summary:
The crystal system is monoclinic. The calculation puts the density of states at the Fermi level at 0.00 states/eV/cell. The total DFT energy (no corrections) is -48.09 eV for the cell shown. Its space group is C2/m, No. 12. For the uncorrected formation energy, the calculation gives -1512 kJ/mol of formula units. Its magnetization is 0.0 μB/cell.

a b c (Å): 8.217 8.217 8.784
angles (deg): 117.75 117.75 59.39
Element x y z (fractional)
Ca: 0.000 0.000 0.000
Tl: 0.000 0.000 0.500
Tl: 0.000 0.500 0.500
Tl: 0.500 0.000 0.500
Ag: 0.000 0.500 0.000
Ag: 0.500 0.000 0.000
Ag: 0.500 0.500 0.000
Cl: 0.230 0.230 0.204
Cl: 0.234 0.744 0.207
Cl: 0.256 0.766 0.793
Cl: 0.264 0.264 0.799
Cl: 0.736 0.736 0.201
Cl: 0.744 0.234 0.207
Cl: 0.766 0.256 0.793
Cl: 0.770 0.770 0.796